Material: PuGaRh3
Method: DFT, PBE-GGA
State: optimized geometry

- Calculated total energy: -8.20 eV per atom
- Crystal system: orthorhombic
- ΔH_f (0 K): -0.320 eV/atom

Cell: 6.623 9.878 5.427 Å, 90.00 90.00 90.00°
Space group Cmcm (No. 63)
Symmetry-distinct sites (fractional):
Pu1 0.000 0.197 0.250 x4
Ga1 0.000 0.500 0.000 x4
Rh1 0.000 0.290 0.750 x4
Rh2 0.201 0.057 0.750 x8



Material: Pu2Ga9Rh3
Method: DFT, PBE-GGA
State: optimized geometry

- Calculated total energy: -6.14 eV per atom
- Crystal system: monoclinic
- ΔH_f (0 K): -0.574 eV/atom

Cell: 13.177 7.585 10.563 Å, 90.00 114.72 90.00°
Space group C2/c (No. 15)
Symmetry-distinct sites (fractional):
Pu1 0.168 0.083 0.250 x8
Ga1 0.000 0.371 0.250 x4
Ga2 0.058 0.083 0.922 x8
Ga3 0.105 0.313 0.749 x8
Ga4 0.106 0.415 0.067 x8
Ga5 0.224 0.416 0.423 x8
Rh1 0.084 0.246 0.500 x8
Rh2 0.250 0.250 0.000 x4



Material: Pu2Ga5Rh
Method: DFT, PBE-GGA
State: optimized geometry

- Calculated total energy: -6.77 eV per atom
- Energy above the lowest structure with this stoichiometry: 0 meV per atom
- Crystal system: orthorhombic
- ΔH_f (0 K): -0.379 eV/atom

Cell: 4.204 16.663 9.068 Å, 90.00 90.00 90.00°
Space group Cmcm (No. 63)
Symmetry-distinct sites (fractional):
Pu1 0.000 0.000 0.000 x4
Pu2 0.000 0.191 0.250 x4
Ga1 0.000 0.194 0.608 x8
Ga2 0.000 0.357 0.523 x8
Ga3 0.000 0.411 0.250 x4
Rh1 0.000 0.441 0.750 x4



Material: Pu6GaRh5
Method: DFT, PBE-GGA
State: optimized geometry

- Calculated total energy: -10.86 eV per atom
- Crystal system: orthorhombic
- ΔH_f (0 K): -0.381 eV/atom

Cell: 4.821 7.136 14.316 Å, 90.00 90.00 90.00°
Space group Immm (No. 71)
Symmetry-distinct sites (fractional):
Pu1 0.000 0.233 0.000 x4
Pu2 0.000 0.260 0.326 x8
Ga1 0.000 0.000 0.500 x2
Rh1 0.000 0.000 0.166 x4
Rh2 0.000 0.500 0.147 x4
Rh3 0.000 0.500 0.500 x2



Material: Pu2Ga5Rh
Method: DFT, PBE-GGA
State: optimized geometry

- Calculated total energy: -6.72 eV per atom
- Energy above the lowest structure with this stoichiometry: 55 meV per atom
- Crystal system: tetragonal
- ΔH_f (0 K): -0.324 eV/atom

Cell: 6.182 6.182 8.403 Å, 90.00 90.00 90.00°
Space group I4mm (No. 107)
Symmetry-distinct sites (fractional):
Pu1 0.000 0.500 0.000 x4
Ga1 0.000 0.000 0.000 x2
Ga2 0.214 0.214 0.750 x8
Rh1 0.000 0.000 0.293 x2



Material: Pu2Ga2Rh3
Method: DFT, PBE-GGA
State: optimized geometry

- Calculated total energy: -8.67 eV per atom
- Crystal system: monoclinic
- ΔH_f (0 K): -0.555 eV/atom

Cell: 9.756 4.204 6.545 Å, 90.00 104.96 90.00°
Space group C2/m (No. 12)
Symmetry-distinct sites (fractional):
Pu1 0.129 0.000 0.296 x4
Ga1 0.116 0.500 0.920 x4
Rh1 0.000 0.500 0.500 x2
Rh2 0.173 0.000 0.741 x4



Material: PuGa9Rh2
Method: DFT, PBE-GGA
State: optimized geometry

- Calculated total energy: -5.02 eV per atom
- Crystal system: tetragonal
- ΔH_f (0 K): -0.333 eV/atom

Cell: 10.498 10.498 7.455 Å, 90.00 90.00 90.00°
Space group I4_1/amd (No. 141, origin choice 2)
Symmetry-distinct sites (fractional):
Pu1 0.000 0.250 0.375 x4
Ga1 0.000 0.250 0.875 x4
Ga2 0.120 0.046 0.680 x32
Rh1 0.000 0.000 0.000 x8



Material: Pu4GaRh4
Method: DFT, PBE-GGA
State: optimized geometry

- Calculated total energy: -10.16 eV per atom
- Crystal system: tetragonal
- ΔH_f (0 K): -0.185 eV/atom

Cell: 7.947 7.947 4.831 Å, 90.00 90.00 90.00°
Space group I4/m (No. 87)
Symmetry-distinct sites (fractional):
Pu1 0.140 0.839 0.000 x8
Ga1 0.000 0.000 0.500 x2
Rh1 0.021 0.334 0.500 x8



Material: Pu4GaRh2
Method: DFT, PBE-GGA
State: optimized geometry

- Calculated total energy: -11.01 eV per atom
- Crystal system: trigonal
- ΔH_f (0 K): -0.287 eV/atom

Cell: 4.7503 4.7503 19.4527 Å, 90.00 90.00 120.00°
Space group R-3m (No. 166, hexagonal axes)
Symmetry-distinct sites (fractional):
Pu1 0.0000 0.0000 0.0786 x6
Pu2 0.0000 0.0000 0.2196 x6
Ga1 0.0000 0.0000 0.5000 x3
Rh1 0.0000 0.0000 0.3631 x6



Material: Pu4Ga12Rh
Method: DFT, PBE-GGA
State: optimized geometry

- Calculated total energy: -6.40 eV per atom
- Crystal system: cubic
- ΔH_f (0 K): -0.461 eV/atom

Cell: 8.640 8.640 8.640 Å, 90.00 90.00 90.00°
Space group Im-3m (No. 229)
Symmetry-distinct sites (fractional):
Pu1 0.250 0.250 0.250 x8
Ga1 0.000 0.000 0.290 x12
Ga2 0.000 0.250 0.500 x12
Rh1 0.000 0.000 0.000 x2



Material: PuGa4Rh2
Method: DFT, PBE-GGA
State: optimized geometry

- Calculated total energy: -6.43 eV per atom
- Crystal system: orthorhombic
- ΔH_f (0 K): -0.551 eV/atom

Cell: 17.036 4.325 6.606 Å, 90.00 90.00 90.00°
Space group Pnma (No. 62)
Symmetry-distinct sites (fractional):
Pu1 0.139 0.250 0.016 x4
Ga1 0.036 0.750 0.843 x4
Ga2 0.068 0.250 0.488 x4
Ga3 0.187 0.750 0.320 x4
Ga4 0.189 0.750 0.725 x4
Rh1 0.038 0.750 0.244 x4
Rh2 0.215 0.250 0.524 x4



Material: PuGa9Rh3
Method: DFT, PBE-GGA
State: optimized geometry

- Calculated total energy: -5.31 eV per atom
- Crystal system: monoclinic
- ΔH_f (0 K): -0.417 eV/atom

Cell: 5.426 12.624 6.784 Å, 90.00 111.78 90.00°
Space group C2/m (No. 12)
Symmetry-distinct sites (fractional):
Pu1 0.000 0.000 0.000 x2
Ga1 0.000 0.000 0.500 x2
Ga2 0.097 0.391 0.209 x8
Ga3 0.177 0.179 0.340 x8
Rh1 0.000 0.500 0.500 x2
Rh2 0.250 0.250 0.000 x4



Material: Pu3Ga2Rh3
Method: DFT, PBE-GGA
State: optimized geometry

- Calculated total energy: -9.40 eV per atom
- Energy above the lowest structure with this stoichiometry: 15 meV per atom
- Crystal system: orthorhombic
- ΔH_f (0 K): -0.510 eV/atom

Cell: 7.361 15.021 5.802 Å, 90.00 90.00 90.00°
Space group Pnma (No. 62)
Symmetry-distinct sites (fractional):
Pu1 0.032 0.108 0.146 x8
Pu2 0.193 0.250 0.583 x4
Ga1 0.106 0.608 0.353 x8
Rh1 0.178 0.750 0.598 x4
Rh2 0.194 0.033 0.565 x8



Material: Pu3Ga4Rh4
Method: DFT, PBE-GGA
State: optimized geometry

- Calculated total energy: -8.11 eV per atom
- Crystal system: triclinic
- ΔH_f (0 K): -0.431 eV/atom

Cell: 3.624 4.890 12.328 Å, 89.96 81.66 89.96°
Space group P-1 (No. 2)
Symmetry-distinct sites (fractional):
Pu1 0.000 0.000 0.000 x1
Pu2 0.366 0.001 0.266 x2
Ga1 0.220 0.651 0.562 x2
Ga2 0.449 0.498 0.101 x2
Rh1 0.120 0.482 0.760 x2
Rh2 0.217 0.154 0.567 x2



Material: Pu3Ga12Rh
Method: DFT, PBE-GGA
State: optimized geometry

- Calculated total energy: -5.76 eV per atom
- Crystal system: tetragonal
- ΔH_f (0 K): -0.348 eV/atom

Cell: 4.296 4.296 16.117 Å, 90.00 90.00 90.00°
Space group P4/mmm (No. 123)
Symmetry-distinct sites (fractional):
Pu1 0.000 0.000 0.000 x1
Pu2 0.000 0.000 0.267 x2
Ga1 0.000 0.500 0.132 x4
Ga2 0.000 0.500 0.396 x4
Ga3 0.500 0.500 0.000 x1
Ga4 0.500 0.500 0.261 x2
Ga5 0.500 0.500 0.500 x1
Rh1 0.000 0.000 0.500 x1



Material: Pu2Ga3Rh
Method: DFT, PBE-GGA
State: optimized geometry

- Calculated total energy: -8.03 eV per atom
- Crystal system: trigonal
- ΔH_f (0 K): -0.511 eV/atom

Cell: 5.5130 5.5130 12.8453 Å, 90.00 90.00 120.00°
Space group R-3m (No. 166, hexagonal axes)
Symmetry-distinct sites (fractional):
Pu1 0.0000 0.0000 0.1204 x6
Ga1 0.0000 0.5000 0.0000 x9
Rh1 0.0000 0.0000 0.5000 x3



Material: Pu5GaRh3
Method: DFT, PBE-GGA
State: optimized geometry

- Calculated total energy: -10.89 eV per atom
- Crystal system: monoclinic
- ΔH_f (0 K): -0.138 eV/atom

Cell: 11.218 8.538 9.302 Å, 90.00 105.69 90.00°
Space group C2/m (No. 12)
Symmetry-distinct sites (fractional):
Pu1 0.000 0.195 0.000 x4
Pu2 0.014 0.000 0.650 x4
Pu3 0.164 0.269 0.649 x8
Pu4 0.250 0.000 0.943 x4
Ga1 0.071 0.500 0.272 x4
Rh1 0.000 0.500 0.000 x2
Rh2 0.000 0.500 0.500 x2
Rh3 0.164 0.000 0.196 x4
Rh4 0.244 0.000 0.513 x4



Material: Pu2Ga8Rh
Method: DFT, PBE-GGA
State: optimized geometry

- Calculated total energy: -5.94 eV per atom
- Crystal system: tetragonal
- ΔH_f (0 K): -0.461 eV/atom

Cell: 4.314 4.314 11.190 Å, 90.00 90.00 90.00°
Space group P4/mmm (No. 123)
Symmetry-distinct sites (fractional):
Pu1 0.000 0.000 0.191 x2
Ga1 0.000 0.500 0.000 x2
Ga2 0.000 0.500 0.376 x4
Ga3 0.500 0.500 0.194 x2
Rh1 0.000 0.000 0.500 x1